# 1
# Lu2Te4O11, optimized geometry, DFT PBE
data_Lu2Te4O11
_chemical_formula_sum 'Lu4 Te8 O22'
_symmetry_space_group_name_H-M 'P 1'
_symmetry_Int_Tables_number 1
_symmetry_space_group_name_Hall 'P 1'
_cell_length_a 5.033
_cell_length_b 6.602
_cell_length_c 15.406
_cell_angle_alpha 91.88
_cell_angle_beta 99.40
_cell_angle_gamma 112.41
loop_
_atom_site_label
_atom_site_type_symbol
_atom_site_fract_x
_atom_site_fract_y
_atom_site_fract_z
_atom_site_occupancy
O1 O 0.386 0.250 0.250 1
O2 O 0.711 0.468 0.053 1
O3 O 0.690 0.032 0.447 1
O4 O 0.051 0.135 0.832 1
O5 O 0.059 0.867 0.370 1
O6 O 0.614 0.750 0.750 1
O7 O 0.504 0.953 0.906 1
O8 O 0.145 0.547 0.594 1
O9 O 0.679 0.367 0.870 1
O10 O 0.584 0.365 0.668 1
O11 O 0.416 0.635 0.332 1
O12 O 0.855 0.453 0.406 1
O13 O 0.949 0.865 0.168 1
O14 O 0.715 0.679 0.544 1
O15 O 0.009 0.179 0.044 1
O16 O 0.310 0.968 0.553 1
O17 O 0.289 0.532 0.947 1
O18 O 0.285 0.321 0.456 1
O19 O 0.321 0.633 0.130 1
O20 O 0.991 0.821 0.956 1
O21 O 0.496 0.047 0.094 1
O22 O 0.941 0.133 0.630 1
Lu1 Lu 0.336 0.203 0.964 1
Lu2 Lu 0.332 0.703 0.464 1
Lu3 Lu 0.664 0.797 0.036 1
Lu4 Lu 0.668 0.297 0.536 1
Te1 Te 0.967 0.373 0.129 1
Te2 Te 0.034 0.873 0.629 1
Te3 Te 0.033 0.627 0.871 1
Te4 Te 0.704 0.552 0.299 1
Te5 Te 0.966 0.127 0.371 1
Te6 Te 0.354 0.948 0.201 1
Te7 Te 0.296 0.448 0.701 1
Te8 Te 0.646 0.052 0.799 1
# E	-6.33	eV per atom

# 2
# CoHgIrPb, optimized geometry, DFT PBE
data_CoHgIrPb
_chemical_formula_sum 'Co1 Hg1 Ir1 Pb1'
_symmetry_space_group_name_H-M 'P 1'
_symmetry_Int_Tables_number 1
_symmetry_space_group_name_Hall 'P 1'
_cell_length_a 4.645
_cell_length_b 4.645
_cell_length_c 4.645
_cell_angle_alpha 60.00
_cell_angle_beta 60.00
_cell_angle_gamma 60.00
loop_
_atom_site_label
_atom_site_type_symbol
_atom_site_fract_x
_atom_site_fract_y
_atom_site_fract_z
_atom_site_occupancy
Ir1 Ir 0.250 0.250 0.250 1
Co1 Co 0.750 0.750 0.750 1
Hg1 Hg 0.500 0.500 0.500 1
Pb1 Pb 0.000 0.000 0.000 1
# polymorph energy (0 for the lowest one)	0	meV/atom

# 3
# DyTlP2Se6, optimized geometry, DFT PBE
data_DyTlP2Se6
_chemical_formula_sum 'Dy2 Tl2 P4 Se12'
_symmetry_space_group_name_H-M 'P 1'
_symmetry_Int_Tables_number 1
_symmetry_space_group_name_Hall 'P 1'
_cell_length_a 6.850
_cell_length_b 7.637
_cell_length_c 10.463
_cell_angle_alpha 90.00
_cell_angle_beta 91.34
_cell_angle_gamma 90.00
loop_
_atom_site_label
_atom_site_type_symbol
_atom_site_fract_x
_atom_site_fract_y
_atom_site_fract_z
_atom_site_occupancy
Se1 Se 0.424 0.691 0.834 1
Se2 Se 0.568 0.194 0.834 1
Se3 Se 0.653 0.866 0.483 1
Se4 Se 0.126 0.364 0.018 1
Se5 Se 0.347 0.366 0.517 1
Se6 Se 0.094 0.087 0.253 1
Se7 Se 0.899 0.558 0.266 1
Se8 Se 0.874 0.864 0.982 1
Se9 Se 0.906 0.587 0.747 1
Se10 Se 0.101 0.058 0.734 1
Se11 Se 0.432 0.694 0.166 1
Se12 Se 0.576 0.191 0.166 1
Dy1 Dy 0.716 0.502 0.002 1
Dy2 Dy 0.284 0.002 0.998 1
Tl1 Tl 0.817 0.280 0.508 1
Tl2 Tl 0.183 0.780 0.492 1
P1 P 0.815 0.991 0.172 1
P2 P 0.690 0.773 0.291 1
P3 P 0.185 0.491 0.828 1
P4 P 0.310 0.273 0.709 1
# E	-4.50	eV per atom